# CuWIO2 (PBE+U, relaxed)
data_CuWIO2
_symmetry_space_group_name_H-M 'P 4/m m m'
_symmetry_Int_Tables_number 123
_symmetry_space_group_name_Hall '-P 4 2'
_cell_length_a 4.0646
_cell_length_b 4.0646
_cell_length_c 5.0386
_cell_angle_alpha 90.00
_cell_angle_beta 90.00
_cell_angle_gamma 90.00
loop_
_atom_site_label
_atom_site_fract_x
_atom_site_fract_y
_atom_site_fract_z
_atom_site_occupancy
Cu1 0.0000 0.0000 0.0000 1
W1 0.5000 0.5000 0.5000 1
I1 0.0000 0.0000 0.5000 1
O1 0.0000 0.5000 0.0000 1
# Size of the total moment = 3.366 μB per formula unit
# Total energy = -19.64 eV per formula unit
# Distance to the lowest polymorph of the same formula = 7.07 eV/f.u.
# N(E_F) = 4.1 states/eV/cell